1.
K2YSbTe4 | PBE | relaxed

Properties
* raw formation energy: -0.97 eV per atom
* SG: P2/m (10)
* crystal system: monoclinic

Lattice parameters (Å, degrees): 7.8571 4.5063 8.6231 90.00 107.46 90.00
Sites, in units of the cell vectors:
K 0.0000 0.0000 0.0000
K 0.5000 0.5000 0.0000
Y 0.0000 0.5000 0.5000
Sb 0.5000 0.0000 0.5000
Te 0.2365 0.0000 0.7066
Te 0.2642 0.5000 0.2940
Te 0.7358 0.5000 0.7060
Te 0.7635 0.0000 0.2934


2.
K2HgPt | PBE | relaxed

Properties
* SG: I-42d (122)
* DOS at the Fermi energy: 0.031 states/eV/atom
* formation energy from the elements: 249 meV per atom
* crystal system: tetragonal

Lattice parameters (Å, degrees): 10.7405 10.7405 10.7405 149.45 149.45 43.75
Sites, in units of the cell vectors:
K 0.0780 0.6250 0.9530
K 0.3750 0.3280 0.4530
K 0.6720 0.1250 0.0470
K 0.8750 0.9220 0.5470
Hg 0.2500 0.7500 0.5000
Hg 0.5000 0.5000 0.0000
Pt 0.0000 0.0000 0.0000
Pt 0.7500 0.2500 0.5000


3.
Zr2NO | PBE | relaxed

Properties
* raw formation energy: -1.68 eV per atom
* SG: R-3m (166)
* DOS at the Fermi energy: 0.648 states/eV/atom
* offset from the most stable computed form: 0.333 eV/atom
* crystal system: trigonal

Lattice parameters (Å, degrees): 6.8271 6.8271 6.8271 28.14 28.14 28.14
Sites, in units of the cell vectors:
Zr 0.1009 0.1009 0.1009
Zr 0.8991 0.8991 0.8991
N 0.5000 0.5000 0.5000
O 0.0000 0.0000 0.0000


4.
Ba2ScIn | PBE | relaxed

Properties
* SG: P4mm (99)
* DOS at the Fermi energy: 1.404 states/eV/atom
* formation energy from the elements: -84 meV per atom
* crystal system: tetragonal

Lattice parameters (Å, degrees): 3.9819 3.9819 10.0827 90.00 90.00 90.00
Sites, in units of the cell vectors:
Ba 0.0000 0.0000 0.0000
Ba 0.5000 0.5000 0.3727
Sc 0.5000 0.5000 0.7369
In 0.0000 0.0000 0.6167


5.
Pa2MnAl8 | PBE | relaxed

Properties
* SG: P4/mmm (123)
* DOS at the Fermi energy: 0.963 states/eV/atom
* formation energy from the elements: -245 meV per atom
* crystal system: tetragonal

Lattice parameters (Å, degrees): 4.2985 4.2985 11.1925 90.00 90.00 90.00
Sites, in units of the cell vectors:
Pa 0.0000 0.0000 0.1950
Pa 0.0000 0.0000 0.8050
Mn 0.0000 0.0000 0.5000
Al 0.0000 0.5000 0.0000
Al 0.0000 0.5000 0.3829
Al 0.0000 0.5000 0.6171
Al 0.5000 0.0000 0.0000
Al 0.5000 0.0000 0.3829
Al 0.5000 0.0000 0.6171
Al 0.5000 0.5000 0.1921
Al 0.5000 0.5000 0.8079


6.
PrCuPO | PBE | relaxed

Properties
* raw formation energy: -1.68 eV per atom
* SG: P4/nmm (129)
* DOS at the Fermi energy: 0.529 states/eV/atom
* crystal system: tetragonal

Lattice parameters (Å, degrees): 4.0332 4.0332 8.2791 90.00 90.00 90.00
Sites, in units of the cell vectors:
Pr 0.2500 0.2500 0.1477
Pr 0.7500 0.7500 0.8523
Cu 0.2500 0.7500 0.5000
Cu 0.7500 0.2500 0.5000
P 0.2500 0.2500 0.6466
P 0.7500 0.7500 0.3534
O 0.2500 0.7500 0.0000
O 0.7500 0.2500 0.0000